[1]
# Pm2Nd4Tm PBE relaxed
# * energy above the lowest structure with this stoichiometry: 166 meV per atom
# * crystal system: tetragonal
data_Pm2Nd4Tm
_chemical_formula_sum 'Pm8 Nd16 Tm4'
_cell_length_a 9.943
_cell_length_b 9.943
_cell_length_c 9.947
_cell_angle_alpha 90.00
_cell_angle_beta 90.00
_cell_angle_gamma 90.00
_symmetry_space_group_name_H-M 'I -4 2 d'
_symmetry_Int_Tables_number 122
_symmetry_space_group_name_Hall 'I -4 2bw'
loop_
_atom_site_label
_atom_site_type_symbol
_atom_site_fract_x
_atom_site_fract_y
_atom_site_fract_z
Pm1 Pm 0.127 0.750 0.125
Nd1 Nd 0.077 0.672 0.454
Tm1 Tm 0.000 0.000 0.500

***

[2]
# ThTe3Pb PBE relaxed
# * E_form (uncorrected): -4.4 eV per formula unit
# * energy above the lowest structure with this stoichiometry: 0 meV per atom
# * crystal system: monoclinic
data_ThTe3Pb
_chemical_formula_sum 'Th2 Te6 Pb2'
_cell_length_a 8.852
_cell_length_b 4.408
_cell_length_c 9.683
_cell_angle_alpha 90.00
_cell_angle_beta 111.39
_cell_angle_gamma 90.00
_symmetry_space_group_name_H-M 'P 1 21/m 1'
_symmetry_Int_Tables_number 11
loop_
_symmetry_equiv_pos_as_xyz
'x,y,z'
'-x,-y,-z'
'-x,y+1/2,-z'
'x,-y+1/2,z'
loop_
_atom_site_label
_atom_site_type_symbol
_atom_site_fract_x
_atom_site_fract_y
_atom_site_fract_z
Th1 Th 0.017 0.250 0.239
Te1 Te 0.154 0.250 0.609
Te2 Te 0.186 0.250 0.992
Te3 Te 0.309 0.750 0.359
Pb1 Pb 0.447 0.750 0.705

***

[3]
# HfAlMo3 PBE relaxed
# * energy above the lowest structure with this stoichiometry: 764 meV per atom
# * crystal system: cubic
data_HfAlMo3
_chemical_formula_sum 'Hf1 Al1 Mo3'
_cell_length_a 4.771
_cell_length_b 4.771
_cell_length_c 4.771
_cell_angle_alpha 90.00
_cell_angle_beta 90.00
_cell_angle_gamma 90.00
_symmetry_space_group_name_H-M 'P m -3 m'
_symmetry_Int_Tables_number 221
_symmetry_space_group_name_Hall '-P 4 2 3'
loop_
_atom_site_label
_atom_site_type_symbol
_atom_site_fract_x
_atom_site_fract_y
_atom_site_fract_z
Hf1 Hf 0.000 0.000 0.000
Al1 Al 0.500 0.500 0.500
Mo1 Mo 0.000 0.000 0.500

***

[4]
# Tm8Tl3Se3N PBE relaxed
# * E_form (uncorrected): -14.0 eV per formula unit
# * crystal system: monoclinic
data_Tm8Tl3Se3N
_chemical_formula_sum 'Tm16 Tl6 Se6 N2'
_cell_length_a 13.382
_cell_length_b 7.729
_cell_length_c 8.828
_cell_angle_alpha 90.00
_cell_angle_beta 120.31
_cell_angle_gamma 90.00
_symmetry_space_group_name_H-M 'C 1 2/m 1'
_symmetry_Int_Tables_number 12
loop_
_symmetry_equiv_pos_as_xyz
'x,y,z'
'-x,-y,-z'
'-x,y,-z'
'x,-y,z'
'x+1/2,y+1/2,z'
'-x+1/2,-y+1/2,-z'
'-x+1/2,y+1/2,-z'
'x+1/2,-y+1/2,z'
loop_
_atom_site_label
_atom_site_type_symbol
_atom_site_fract_x
_atom_site_fract_y
_atom_site_fract_z
Tm1 Tm 0.008 0.217 0.309
Tm2 Tm 0.208 0.000 0.691
Tm3 Tm 0.239 0.500 0.717
Tl1 Tl 0.000 0.000 0.000
Tl2 Tl 0.250 0.250 0.000
Se1 Se 0.000 0.500 0.500
Se2 Se 0.250 0.250 0.500
N1 N 0.000 0.000 0.500

***

| no. | calculated total energy (eV/atom) |
| --- | --- |
| 1 | -4.44 |
| 2 | -4.99 |
| 3 | -7.35 |
| 4 | -5.04 |